ZrCuWO2 after structural relaxation. Source: Alexandria via LeMat-Bulk, functional PBE+U.

The structure belongs to space group P4/mmm (No. 123); the cell edges are 4.0024, 4.0024 and 6.7969 Å and the angles 90.00°, 90.00° and 90.00°. The asymmetric unit holds Zr at (0.0000, 0.0000, 0.0000), Cu at (0.5000, 0.5000, 0.5000), W at (0.0000, 0.0000, 0.5000) and O at (0.0000, 0.5000, 0.0000).

As for the size of the total moment: 4.051 Bohr magnetons per cell. The calculation puts the volume at 109 Å³ per cell. The total energy is -32.1 eV for the cell shown.